VASP calculation (GGA-PBE) on crystalline Er2TlSi2Rh5 at its relaxed geometry.

Formation energy from raw total energies, meV/atom: -887
Electronic total energy, eV per atom: -6.797
Fermi-level density of states, states/eV/cell: 7.31

CIF file:
```
data_Er2TlSi2Rh5
_cell_length_a 9.7969
_cell_length_b 9.7969
_cell_length_c 3.5341
_cell_angle_alpha 90.00
_cell_angle_beta 90.00
_cell_angle_gamma 90.00
_space_group_name_H-M_alt 'P 4/m b m'
_space_group_IT_number 127
_space_group_name_Hall '-P 4 2ab'
loop_
_atom_site_label
_atom_site_fract_x
_atom_site_fract_y
_atom_site_fract_z
Er1 0.1754 0.3246 0.0000
Tl1 0.0000 0.0000 0.0000
Si1 0.1217 0.6217 0.0000
Rh1 0.0000 0.5000 0.5000
Rh2 0.0704 0.7810 0.5000
```